(1)
# ScFe6Ge6 (PBEsol, optimized geometry)
data_ScFe6Ge6
_space_group_name_H-M_alt 'P 1'
_space_group_IT_number 1
_cell_length_a 4.9427
_cell_length_b 4.9427
_cell_length_c 7.9137
_cell_angle_alpha 90.00
_cell_angle_beta 90.00
_cell_angle_gamma 120.00
loop_
_space_group_symop_operation_xyz
'x,y,z'
loop_
_atom_site_label
_atom_site_type_symbol
_atom_site_fract_x
_atom_site_fract_y
_atom_site_fract_z
Sc1 Sc 0.0000 0.0000 0.0000
Fe1 Fe 0.0000 0.5000 0.2492
Fe2 Fe 0.0000 0.5000 0.7508
Fe3 Fe 0.5000 0.0000 0.2492
Fe4 Fe 0.5000 0.0000 0.7508
Fe5 Fe 0.5000 0.5000 0.2492
Fe6 Fe 0.5000 0.5000 0.7508
Ge1 Ge 0.0000 0.0000 0.3412
Ge2 Ge 0.0000 0.0000 0.6588
Ge3 Ge 0.3333 0.6667 0.0000
Ge4 Ge 0.3333 0.6667 0.5000
Ge5 Ge 0.6667 0.3333 0.0000
Ge6 Ge 0.6667 0.3333 0.5000
# - ΔE_f: -350 meV per atom
# - Space-group type: P6/mmm
# - Total energy: -94.58 eV for the cell shown



(2)
# Zn3Si5 (PBEsol, optimized geometry)
data_Zn3Si5
_space_group_name_H-M_alt 'P 1'
_space_group_IT_number 1
_cell_length_a 3.3542
_cell_length_b 3.3542
_cell_length_c 10.6498
_cell_angle_alpha 90.00
_cell_angle_beta 90.00
_cell_angle_gamma 90.00
loop_
_space_group_symop_operation_xyz
'x,y,z'
loop_
_atom_site_label
_atom_site_type_symbol
_atom_site_fract_x
_atom_site_fract_y
_atom_site_fract_z
Zn1 Zn 0.0000 0.0000 0.0000
Zn2 Zn 0.5000 0.5000 0.3796
Zn3 Zn 0.5000 0.5000 0.6204
Si1 Si 0.0000 0.0000 0.2432
Si2 Si 0.0000 0.0000 0.5000
Si3 Si 0.0000 0.0000 0.7568
Si4 Si 0.5000 0.5000 0.1395
Si5 Si 0.5000 0.5000 0.8605
# - Formation energy (no corrections): 0.331 eV per atom
# - Space-group type: P4/mmm
# - Total energy: -30.83 eV for the cell shown



M_tot per entry: 7.403, 0.000 Bohr magnetons per cell
Fermi-level density of states per entry: 10.408, 2.890 states/eV/cell